A plane-wave DFT calculation with PBE-GGA was carried out for a geometry-optimized NbBiO3 structure. Values from VASP.

```
&SYSTEM
  ibrav = 0, nat = 10, ntyp = 3
/
ATOMIC_SPECIES
Nb 92.91 Nb.upf
Bi 208.98 Bi.upf
O 16.00 O.upf
ATOMIC_POSITIONS crystal
Nb 0.154 0.154 0.154
Nb 0.846 0.846 0.846
Bi 0.347 0.347 0.347
Bi 0.653 0.653 0.653
O 0.053 0.816 0.450
O 0.184 0.550 0.947
O 0.450 0.053 0.816
O 0.550 0.947 0.184
O 0.816 0.450 0.053
O 0.947 0.184 0.550
CELL_PARAMETERS angstrom
2.693 1.555 6.160
-2.693 1.555 6.160
0.000 -3.109 6.160
```

**Raw total energy**: -75.8 eV for the cell shown
**Calculated density**: 7.5 g/cm3